This record from Alexandria describes a relaxed structure of MnGaS3. The functional is GGA-PBE.

Output
**Total magnetic moment**: 0.16 μB/atom
**DOS(E_F)**: 0.658 states/eV/atom
**Crystal system**: orthorhombic
**Space group**: Cmc2_1 (36)
**Energy relative to the lowest polymorph listed for this composition**: 0.1913 eV/atom

Cell lengths 3.5415, 6.0454, 10.0923 Å; angles 90.00, 100.11, 90.00 degrees
With the nearest neighbours (Å) after each atom.
Element x y z (fractional)
1 Mn 0.8842 0.9412 0.7683  4 S 2.09-2.23
2 Mn 0.1158 0.4412 0.2317  4 S 2.09-2.23
3 Ga 0.3120 0.4460 0.6239  5 S 2.39-2.53
4 Ga 0.6880 0.9460 0.3761  5 S 2.39-2.53
5 S 0.8793 0.3005 0.7586  1 Mn 2.17, 2 Ga 2.39
6 S 0.1207 0.8005 0.2414  1 Mn 2.17, 2 Ga 2.39
7 S 0.5648 0.3693 0.1296  2 Mn 2.09
8 S 0.4352 0.8693 0.8704  2 Mn 2.09
9 S 0.7906 0.7370 0.5812  1 Mn 2.23, 1 Ga 2.40
10 S 0.2094 0.2370 0.4188  1 Mn 2.23, 1 Ga 2.40


This record from Alexandria describes a relaxed structure of CeHf4. The functional is GGA-PBE.

Output
**Total magnetic moment**: 0.00 μB/atom
**DOS(E_F)**: 1.017 states/eV/atom
**Crystal system**: cubic
**Formation energy from the elements**: 1.140 eV/atom
**Space group**: Pm-3m (221)

Cell lengths 5.0177, 5.0177, 5.0177 Å; angles 90.00, 90.00, 90.00 degrees
With the nearest neighbours (Å) after each atom.
Element x y z (fractional)
1 Hf 0.0000 0.0000 0.0000  12 Hf 3.55
2 Hf 0.5000 0.0000 0.5000  2 Ce 2.51
3 Hf 0.0000 0.5000 0.5000  2 Ce 2.51
4 Hf 0.5000 0.5000 0.0000  2 Ce 2.51
5 Ce 0.5000 0.5000 0.5000  6 Hf 2.51


This record from Alexandria describes a relaxed structure of Zr2Ga2GeRu5. The functional is GGA-PBE.

Output
**Total magnetic moment**: 0.00 μB/atom
**DOS(E_F)**: 0.792 states/eV/atom
**Crystal system**: tetragonal
**Formation energy from the elements**: -0.382 eV/atom
**Space group**: P4/mbm (127)

Cell lengths 3.2781, 9.8393, 9.8393 Å; angles 90.00, 90.00, 90.00 degrees
With the nearest neighbours (Å) after each atom.
Element x y z (fractional)
1 Zr 0.0000 0.6697 0.1697  3 Ga 2.76-2.99, 6 Ru 2.87-3.01
2 Zr 0.0000 0.3303 0.8303  3 Ga 2.76-2.99, 6 Ru 2.87-3.01
3 Zr 0.0000 0.1697 0.3303  3 Ga 2.76-2.99, 6 Ru 2.87-3.01
4 Zr 0.0000 0.8303 0.6697  3 Ga 2.76-2.99, 6 Ru 2.87-3.01
5 Ga 0.0000 0.1318 0.6318  6 Ru 2.46-2.47
6 Ga 0.0000 0.8682 0.3682  6 Ru 2.46-2.47
7 Ga 0.0000 0.6318 0.8682  6 Ru 2.46-2.47
8 Ga 0.0000 0.3682 0.1318  6 Ru 2.46-2.47
9 Ge 0.0000 0.0000 0.0000  8 Ru 2.60
10 Ge 0.0000 0.5000 0.5000  8 Ru 2.60
11 Ru 0.5000 0.1992 0.0508  2 Ga 2.47, 2 Ge 2.60
12 Ru 0.5000 0.8008 0.9492  2 Ga 2.47, 2 Ge 2.60
13 Ru 0.5000 0.0508 0.8008  2 Ga 2.47, 2 Ge 2.60
14 Ru 0.5000 0.6992 0.4492  2 Ga 2.47, 2 Ge 2.60
15 Ru 0.5000 0.9492 0.1992  2 Ga 2.47, 2 Ge 2.60
16 Ru 0.5000 0.3008 0.5508  2 Ga 2.47, 2 Ge 2.60
17 Ru 0.5000 0.5508 0.6992  2 Ga 2.47, 2 Ge 2.60
18 Ru 0.5000 0.4492 0.3008  2 Ga 2.47, 2 Ge 2.60
19 Ru 0.5000 0.5000 0.0000  4 Ga 2.46
20 Ru 0.5000 0.0000 0.5000  4 Ga 2.46


This record from Alexandria describes a relaxed structure of TiSi3Hg. The functional is GGA-PBE.

Output
**Total magnetic moment**: 0.00 μB/atom
**DOS(E_F)**: 0.554 states/eV/atom
**Crystal system**: cubic
**Space group**: Pm-3m (221)
**Energy relative to the lowest polymorph listed for this composition**: 0.0000 eV/atom

Cell lengths 4.8570, 4.8570, 4.8570 Å; angles 90.00, 90.00, 90.00 degrees
With the nearest neighbours (Å) after each atom.
Element x y z (fractional)
1 Si 0.0000 0.5000 0.0000  2 Ti 2.43
2 Si 0.0000 0.0000 0.5000  2 Ti 2.43
3 Si 0.5000 0.0000 0.0000  2 Ti 2.43
4 Hg 0.5000 0.5000 0.5000  12 Si 3.43
5 Ti 0.0000 0.0000 0.0000  6 Si 2.43


| no. | VASP energy (eV/atom) | calculated density (g/cm³) |
| --- | --- | --- |
| 1 | -5.26 | 3.45 |
| 2 | -8.01 | 11.23 |
| 3 | -7.80 | 9.42 |
| 4 | -4.30 | 4.82 |